# PrSm2Th3Bi6 PBE relaxed
data_PrSm2Th3Bi6
_chemical_formula_sum 'Pr2 Sm4 Th6 Bi12'
_cell_length_a 20.0219
_cell_length_b 4.5952
_cell_length_c 9.1687
_cell_angle_alpha 90.00
_cell_angle_beta 103.19
_cell_angle_gamma 90.00
_symmetry_space_group_name_H-M 'C 1 2/m 1'
_symmetry_Int_Tables_number 12
_symmetry_space_group_name_Hall '-C 2y'
loop_
_atom_site_label
_atom_site_fract_x
_atom_site_fract_y
_atom_site_fract_z
Pr1 0.0000 0.0000 0.0000
Sm1 0.1668 0.5000 0.3330
Th1 0.0000 0.0000 0.5000
Th2 0.1657 0.5000 0.8327
Bi1 0.0012 0.5000 0.2522
Bi2 0.1674 0.0000 0.5815
Bi3 0.1678 0.0000 0.0856
# Magnetization ... 0.00 Bohr magnetons per cell
# N(E_F) ... 0.56 states/eV per atom
# Density ... 9671 kg/m3
# VASP energy ... -5.738 eV/atom
# ΔH_f (0 K) ... -758 meV per atom